Material: MgIn2Ni
Method: DFT, GGA-PBEsol
State: relaxed

Summary:
The formation energy comes out at 0.423 eV/f.u. For the raw total energy, the calculation gives -3.354 eV/atom.

abc: 6.6516 6.6516 6.6516
angles: 90.00 90.00 90.00
Closest atoms and distances in Å follow each position.
Fractional positions:
Mg  0.0000  0.0000  0.0000  4 Ni 2.88, 4 In 2.88
Mg  0.0000  0.5000  0.5000  4 Ni 2.88, 4 In 2.88
Mg  0.5000  0.0000  0.5000  4 Ni 2.88, 4 In 2.88
Mg  0.5000  0.5000  0.0000  4 Ni 2.88, 4 In 2.88
In  0.0000  0.0000  0.5000  4 In 2.88, 4 Ni 2.88
In  0.0000  0.5000  0.0000  4 In 2.88, 4 Ni 2.88
In  0.2500  0.2500  0.7500  4 In 2.88, 4 Mg 2.88
In  0.2500  0.7500  0.2500  4 In 2.88, 4 Mg 2.88
In  0.5000  0.0000  0.0000  4 In 2.88, 4 Ni 2.88
In  0.5000  0.5000  0.5000  4 In 2.88, 4 Ni 2.88
In  0.7500  0.2500  0.2500  4 In 2.88, 4 Mg 2.88
In  0.7500  0.7500  0.7500  4 In 2.88, 4 Mg 2.88
Ni  0.2500  0.2500  0.2500  4 In 2.88, 4 Mg 2.88
Ni  0.2500  0.7500  0.7500  4 In 2.88, 4 Mg 2.88
Ni  0.7500  0.2500  0.7500  4 In 2.88, 4 Mg 2.88
Ni  0.7500  0.7500  0.2500  4 In 2.88, 4 Mg 2.88

=====

Material: FePO4
Method: DFT, GGA-PBEsol
State: relaxed

Summary:
For the raw total energy, the calculation gives -7.746 eV/atom. The formation energy from raw total energies is -1.79 eV per atom.

abc: 8.8076 9.2557 9.7394
angles: 90.00 90.00 90.00
Closest atoms and distances in Å follow each position.
Fractional positions:
Fe  0.0635  0.2102  0.1055  4 O 1.85-1.86
Fe  0.0635  0.2898  0.6055  4 O 1.85-1.86
Fe  0.4365  0.7102  0.1055  4 O 1.85-1.86
Fe  0.4365  0.7898  0.6055  4 O 1.85-1.86
Fe  0.5635  0.2102  0.3945  4 O 1.85-1.86
Fe  0.5635  0.2898  0.8945  4 O 1.85-1.86
Fe  0.9365  0.7102  0.3945  4 O 1.85-1.86
Fe  0.9365  0.7898  0.8945  4 O 1.85-1.86
P  0.1209  0.6228  0.6699  4 O 1.54-1.55
P  0.1209  0.8772  0.1699  4 O 1.54-1.55
P  0.3791  0.1228  0.6699  4 O 1.54-1.55
P  0.3791  0.3772  0.1699  4 O 1.54-1.55
P  0.6209  0.6228  0.8301  4 O 1.54-1.55
P  0.6209  0.8772  0.3301  4 O 1.54-1.55
P  0.8791  0.1228  0.8301  4 O 1.54-1.55
P  0.8791  0.3772  0.3301  4 O 1.54-1.55
O  0.0111  0.1654  0.9266  1 P 1.55
O  0.0111  0.3346  0.4266  1 P 1.55
O  0.1015  0.7033  0.8074  1 P 1.54
O  0.1015  0.7967  0.3074  1 P 1.54
O  0.1171  0.0413  0.1966  1 P 1.54
O  0.1171  0.4587  0.6966  1 P 1.54
O  0.2258  0.1624  0.6042  1 P 1.54
O  0.2258  0.3376  0.1042  1 P 1.54
O  0.2742  0.6624  0.6042  1 P 1.54
O  0.2742  0.8376  0.1042  1 P 1.54
O  0.3829  0.5413  0.1966  1 P 1.54
O  0.3829  0.9587  0.6966  1 P 1.54
O  0.3985  0.2033  0.8074  1 P 1.54
O  0.3985  0.2967  0.3074  1 P 1.54
O  0.4889  0.6654  0.9266  1 P 1.55
O  0.4889  0.8346  0.4266  1 P 1.55
O  0.5111  0.1654  0.5734  1 P 1.55
O  0.5111  0.3346  0.0734  1 P 1.55
O  0.6015  0.7033  0.6926  1 P 1.54
O  0.6015  0.7967  0.1926  1 P 1.54
O  0.6171  0.0413  0.3034  1 P 1.54
O  0.6171  0.4587  0.8034  1 P 1.54
O  0.7258  0.1624  0.8958  1 P 1.54
O  0.7258  0.3376  0.3958  1 P 1.54
O  0.7742  0.6624  0.8958  1 P 1.54
O  0.7742  0.8376  0.3958  1 P 1.54
O  0.8829  0.5413  0.3034  1 P 1.54
O  0.8829  0.9587  0.8034  1 P 1.54
O  0.8985  0.2033  0.6926  1 P 1.54
O  0.8985  0.2967  0.1926  1 P 1.54
O  0.9889  0.6654  0.5734  1 P 1.55
O  0.9889  0.8346  0.0734  1 P 1.55

=====

Material: TaZnIn2
Method: DFT, GGA-PBEsol
State: relaxed

Summary:
The formation energy comes out at 0.691 eV/f.u. For the raw total energy, the calculation gives -4.852 eV/atom.

abc: 3.0791 3.0791 28.0659
angles: 90.00 90.00 120.00
Closest atoms and distances in Å follow each position.
Fractional positions:
Ta  0.0000  0.0000  0.0000  6 In 2.99, 6 Ta 3.08
Ta  0.3333  0.6667  0.6667  6 In 2.99, 6 Ta 3.08
Ta  0.6667  0.3333  0.3333  6 In 2.99, 6 Ta 3.08
Zn  0.0000  0.0000  0.5000  6 In 2.89, 6 Zn 3.08
Zn  0.3333  0.6667  0.1667  6 In 2.89, 6 Zn 3.08
Zn  0.6667  0.3333  0.8333  6 In 2.89, 6 Zn 3.08
In  0.0000  0.0000  0.2477  3 Zn 2.89, 3 Ta 2.99, 6 In 3.08
In  0.0000  0.0000  0.7523  3 Zn 2.89, 3 Ta 2.99, 6 In 3.08
In  0.3333  0.6667  0.4189  3 Zn 2.89, 3 Ta 2.99, 6 In 3.08
In  0.3333  0.6667  0.9144  3 Zn 2.89, 3 Ta 2.99, 6 In 3.08
In  0.6667  0.3333  0.0856  3 Zn 2.89, 3 Ta 2.99, 6 In 3.08
In  0.6667  0.3333  0.5811  3 Zn 2.89, 3 Ta 2.99, 6 In 3.08

=====

Material: CoPt5
Method: DFT, GGA-PBEsol
State: relaxed

Summary:
The formation energy comes out at 2.710 eV/f.u. For the raw total energy, the calculation gives -6.641 eV/atom.

abc: 5.1197 5.1197 5.1197
angles: 60.00 60.00 60.00
Closest atoms and distances in Å follow each position.
Fractional positions:
Co  0.0000  0.0000  0.0000  16 Pt 3.00-3.14
Pt  0.1250  0.6250  0.6250  6 Pt 2.56
Pt  0.2500  0.2500  0.2500  12 Pt 3.00, 4 Co 3.14
Pt  0.6250  0.1250  0.6250  6 Pt 2.56
Pt  0.6250  0.6250  0.1250  6 Pt 2.56
Pt  0.6250  0.6250  0.6250  6 Pt 2.56

=====

Material: BaZn3I
Method: DFT, GGA-PBEsol
State: relaxed

Summary:
For the raw total energy, the calculation gives -1.072 eV/atom. The formation energy from raw total energies is 0.66 eV per atom.

abc: 6.2948 6.2948 6.2948
angles: 90.00 90.00 90.00
Closest atoms and distances in Å follow each position.
Fractional positions:
Ba  0.0000  0.0000  0.0000  6 Zn 3.15
Zn  0.0000  0.0000  0.5000  2 Ba 3.15
Zn  0.0000  0.5000  0.0000  2 Ba 3.15
Zn  0.5000  0.0000  0.0000  2 Ba 3.15
I  0.5000  0.5000  0.5000  12 Zn 4.45

=====

Material: Mn3O2F4
Method: DFT, GGA-PBEsol
State: relaxed

Summary:
For the raw total energy, the calculation gives -7.292 eV/atom. The formation energy from raw total energies is -2.01 eV per atom.

abc: 4.7336 4.7336 9.2671
angles: 90.00 90.00 90.00
Closest atoms and distances in Å follow each position.
Fractional positions:
Mn  0.0000  0.0000  0.0000  2 O 2.08, 4 F 2.12
Mn  0.0000  0.0000  0.3502  2 O 1.88, 2 F 1.97
Mn  0.0000  0.0000  0.6498  2 O 1.88, 2 F 1.97
Mn  0.5000  0.5000  0.1498  2 O 1.88, 2 F 1.97
Mn  0.5000  0.5000  0.5000  2 O 2.08, 4 F 2.12
Mn  0.5000  0.5000  0.8502  2 O 1.88, 2 F 1.97
O  0.1897  0.1897  0.5000  3 Mn 1.88-2.08
O  0.3103  0.6897  0.0000  3 Mn 1.88-2.08
O  0.6897  0.3103  0.0000  3 Mn 1.88-2.08
O  0.8103  0.8103  0.5000  3 Mn 1.88-2.08
F  0.1857  0.1857  0.1849  3 Mn 1.97-2.13
F  0.1857  0.1857  0.8151  3 Mn 1.97-2.13
F  0.3143  0.6857  0.3151  3 Mn 1.97-2.13
F  0.3143  0.6857  0.6849  3 Mn 1.97-2.13
F  0.6857  0.3143  0.3151  3 Mn 1.97-2.13
F  0.6857  0.3143  0.6849  3 Mn 1.97-2.13
F  0.8143  0.8143  0.1849  3 Mn 1.97-2.13
F  0.8143  0.8143  0.8151  3 Mn 1.97-2.13

=====

Material: TlAgI2
Method: DFT, GGA-PBEsol
State: relaxed

Summary:
For the raw total energy, the calculation gives -2.754 eV/atom. The formation energy from raw total energies is -0.39 eV per atom.

abc: 8.1721 8.1721 7.5404
angles: 90.00 90.00 90.00
Closest atoms and distances in Å follow each position.
Fractional positions:
Tl  0.0000  0.0000  0.2500  8 I 3.54, 2 Tl 3.77
Tl  0.0000  0.0000  0.7500  8 I 3.54, 2 Tl 3.77
Tl  0.5000  0.5000  0.2500  8 I 3.54, 2 Tl 3.77
Tl  0.5000  0.5000  0.7500  8 I 3.54, 2 Tl 3.77
Ag  0.0000  0.5000  0.2500  4 I 2.82
Ag  0.0000  0.5000  0.7500  4 I 2.82
Ag  0.5000  0.0000  0.2500  4 I 2.82
Ag  0.5000  0.0000  0.7500  4 I 2.82
I  0.1819  0.3181  0.0000  2 Ag 2.82
I  0.1819  0.6819  0.5000  2 Ag 2.82
I  0.3181  0.1819  0.5000  2 Ag 2.82
I  0.3181  0.8181  0.0000  2 Ag 2.82
I  0.6819  0.1819  0.0000  2 Ag 2.82
I  0.6819  0.8181  0.5000  2 Ag 2.82
I  0.8181  0.3181  0.5000  2 Ag 2.82
I  0.8181  0.6819  0.0000  2 Ag 2.82

=====

Material: In2AgHg
Method: DFT, GGA-PBEsol
State: relaxed

Summary:
The formation energy comes out at -0.009 eV/f.u. For the raw total energy, the calculation gives -2.463 eV/atom.

abc: 3.7029 4.5756 5.5463
angles: 90.00 108.95 90.00
Closest atoms and distances in Å follow each position.
Fractional positions:
In  0.0000  0.0000  0.0000  3 Hg 2.85-3.04, 4 Ag 3.01-3.02
In  0.2917  0.5000  0.5908  3 Ag 2.78-3.09, 4 Hg 3.03
Ag  0.5571  0.5000  0.1215  7 In 2.78-3.09, 2 Hg 2.88
Hg  0.7268  0.0000  0.4563  7 In 2.85-3.04, 2 Ag 2.88

=====

Material: Ni2PtBr
Method: DFT, GGA-PBEsol
State: relaxed

Summary:
For the raw total energy, the calculation gives -4.782 eV/atom. The formation energy from raw total energies is 0.50 eV per atom.

abc: 2.8428 4.3732 8.8526
angles: 90.00 90.00 90.00
Closest atoms and distances in Å follow each position.
Fractional positions:
Ni  0.0000  0.0000  0.0000  2 Ni 2.50, 4 Br 2.63, 2 Pt 2.75
Ni  0.0000  0.5000  0.2675  2 Br 2.45, 2 Ni 2.50, 4 Pt 2.61
Ni  0.5000  0.0000  0.7675  2 Br 2.45, 2 Ni 2.50, 4 Pt 2.61
Ni  0.5000  0.5000  0.5000  2 Ni 2.50, 4 Br 2.63, 2 Pt 2.75
Pt  0.0000  0.5000  0.7664  6 Ni 2.61-2.75, 2 Br 2.82, 2 Pt 2.84
Pt  0.5000  0.0000  0.2664  6 Ni 2.61-2.75, 2 Br 2.82, 2 Pt 2.84
Br  0.0000  0.0000  0.5419  6 Ni 2.45-2.63
Br  0.5000  0.5000  0.0419  6 Ni 2.45-2.63

=====

Material: BeFeAs
Method: DFT, GGA-PBEsol
State: relaxed

Summary:
The formation energy comes out at 0.589 eV/f.u. For the raw total energy, the calculation gives -5.827 eV/atom.

abc: 3.8012 3.8012 2.8548
angles: 90.00 90.00 120.00
Closest atoms and distances in Å follow each position.
Fractional positions:
Be  0.0000  0.0000  0.0000  6 Fe 2.62, 6 As 2.62, 2 Be 2.85
Fe  0.6667  0.3333  0.5000  3 As 2.19
As  0.3333  0.6667  0.5000  3 Fe 2.19

=====

Material: Na2Ca2Ta3O10
Method: DFT, GGA-PBEsol
State: relaxed

Summary:
For the raw total energy, the calculation gives -8.468 eV/atom. The formation energy from raw total energies is -2.75 eV per atom.

abc: 14.4681 14.4681 14.4681
angles: 164.31 164.31 22.26
Closest atoms and distances in Å follow each position.
Fractional positions:
Na  0.2117  0.2117  0.0000  1 O 2.25
Na  0.7883  0.7883  0.0000  1 O 2.25
Ca  0.0766  0.0766  0.0000  8 O 2.55-2.80
Ca  0.9234  0.9234  0.0000  8 O 2.55-2.80
Ta  0.3563  0.3563  0.0000  5 O 1.85-2.00
Ta  0.5000  0.5000  0.0000  6 O 1.96-1.98
Ta  0.6437  0.6437  0.0000  5 O 1.85-2.00
O  0.0000  0.5000  0.5000  2 Ta 1.98
O  0.1334  0.6334  0.5000  2 Ta 2.00
O  0.2910  0.2910  0.0000  1 Ta 1.85
O  0.3666  0.8666  0.5000  2 Ta 2.00
O  0.4310  0.4310  0.0000  2 Ta 1.96-2.12
O  0.5000  0.0000  0.5000  2 Ta 1.98
O  0.5690  0.5690  0.0000  2 Ta 1.96-2.12
O  0.6334  0.1334  0.5000  2 Ta 2.00
O  0.7090  0.7090  0.0000  1 Ta 1.85
O  0.8666  0.3666  0.5000  2 Ta 2.00